Entry 1:
First-principles (PBE) data for TmZr5 after structural relaxation, as listed in Alexandria via LeMat-Bulk.

The value obtained for the calculated formation energy is 0.07 eV/atom. The total energy is -7.796 eV/atom.

It has space group Cmmm (No. 65), with a = 4.5940 Å, b = 13.7480 Å, c = 4.5667 Å, α = 90.00°, β = 90.00° and γ = 90.00°. The asymmetric unit holds Tm at (0.0000, 0.0000, 0.0000), Zr at (0.0000, 0.1694, 0.5000), Zr at (0.0000, 0.3311, 0.0000) and Zr at (0.0000, 0.5000, 0.5000).

=====

Entry 2:
First-principles (PBE) data for U after structural relaxation, as listed in Alexandria via LeMat-Bulk.

The value obtained for the calculated formation energy is 0.36 eV/atom. The total energy is -10.928 eV/atom.

It has space group Cmmm (No. 65), with a = 5.8228 Å, b = 11.4246 Å, c = 5.0231 Å, α = 90.00°, β = 90.00° and γ = 90.00°. The asymmetric unit holds U at (0.2164, 0.0000, 0.0000), U at (0.2193, 0.3758, 0.5000) and U at (0.2500, 0.2500, 0.0000).

=====

Entry 3:
First-principles (PBE) data for U after structural relaxation, as listed in Alexandria via LeMat-Bulk.

The value obtained for the calculated formation energy is 0.35 eV/atom. The total energy is -10.934 eV/atom.

It has space group Pmmm (No. 47), with a = 5.0472 Å, b = 5.8556 Å, c = 11.3728 Å, α = 90.00°, β = 90.00° and γ = 90.00°. The asymmetric unit holds U at (0.0000, 0.2156, 0.0000), U at (0.0000, 0.2795, 0.2506), U at (0.0000, 0.2831, 0.5000), U at (0.5000, 0.2159, 0.3770) and U at (0.5000, 0.2780, 0.1250).

=====

Entry 4:
First-principles (PBE) data for U after structural relaxation, as listed in Alexandria via LeMat-Bulk.

The value obtained for the calculated formation energy is 0.10 eV/atom. The total energy is -11.188 eV/atom.

It has space group P4_2/mnm (No. 136), with a = 10.4441 Å, b = 10.4441 Å, c = 5.6314 Å, α = 90.00°, β = 90.00° and γ = 90.00°. The asymmetric unit holds U at (0.0000, 0.0000, 0.0000), U at (0.0488, 0.3643, 0.5000), U at (0.0563, 0.2671, 0.0000), U at (0.1098, 0.1098, 0.5000) and U at (0.1788, 0.8212, 0.2743).

=====

Entry 5:
First-principles (PBE) data for U after structural relaxation, as listed in Alexandria via LeMat-Bulk.

The value obtained for the calculated formation energy is 0.38 eV/atom. The total energy is -10.904 eV/atom.

It has space group P6/mmm (No. 191), with a = 2.8734 Å, b = 2.8734 Å, c = 2.8289 Å, α = 90.00°, β = 90.00° and γ = 120.00°. The asymmetric unit holds U at (0.0000, 0.0000, 0.0000).

=====

Entry 6:
First-principles (PBE) data for U after structural relaxation, as listed in Alexandria via LeMat-Bulk.

The value obtained for the calculated formation energy is 0.30 eV/atom. The total energy is -10.989 eV/atom.

It has space group P6_3/mmc (No. 194), with a = 2.9905 Å, b = 2.9905 Å, c = 10.9056 Å, α = 90.00°, β = 90.00° and γ = 120.00°. The asymmetric unit holds U at (0.0000, 0.0000, 0.0000) and U at (0.3333, 0.6667, 0.2500).

=====

Entry 7:
First-principles (PBE) data for U after structural relaxation, as listed in Alexandria via LeMat-Bulk.

The value obtained for the calculated formation energy is 0.16 eV/atom. The total energy is -11.128 eV/atom.

It has space group I4/mmm (No. 139), with a = 2.7446 Å, b = 2.7446 Å, c = 5.3129 Å, α = 90.00°, β = 90.00° and γ = 90.00°. The asymmetric unit holds U at (0.0000, 0.0000, 0.0000).

=====

Entry 8:
First-principles (PBE) data for U after structural relaxation, as listed in Alexandria via LeMat-Bulk.

The value obtained for the calculated formation energy is 0.21 eV/atom. The total energy is -11.074 eV/atom.

It has space group Pmma (No. 51), with a = 5.4010 Å, b = 5.0229 Å, c = 5.9688 Å, α = 90.00°, β = 90.00° and γ = 90.00°. The asymmetric unit holds U at (0.0000, 0.0000, 0.0000), U at (0.2500, 0.0000, 0.4789), U at (0.2500, 0.5000, 0.1646) and U at (0.2500, 0.5000, 0.6871).

=====

What is the calculated formation energy in the first record?
0.07 eV/atom

=====

The lowest calculated formation energy belongs to which entry?
TmZr5